# 1
Compound: CeSbBrO4
Source: the Alexandria database
Functional: GGA-PBE
Structure: relaxed

Cell and atoms, written as POSCAR:
```
CeSbBrO4
1.0
5.665 -3.692 0.000
5.665 3.692 0.000
-2.772 0.000 6.462
Ce Sb Br O
2 2 2 8
Direct
0.239 0.239 0.170
0.761 0.761 0.830
0.374 0.374 0.786
0.626 0.626 0.214
0.000 0.000 0.245
0.000 0.000 0.755
0.074 0.486 0.818
0.336 0.336 0.494
0.440 0.440 0.121
0.486 0.074 0.818
0.514 0.926 0.182
0.560 0.560 0.879
0.664 0.664 0.506
0.926 0.514 0.182
```

Calculated values
Space-group type: C2/m
Raw total energy (eV/atom): -6.4514
Formation energy from raw total energies (eV/atom): -1.94



# 2
Compound: TiBe6Co2
Source: the Alexandria database
Functional: GGA-PBE
Structure: relaxed

Cell and atoms, written as POSCAR:
```
TiBe6Co2
1.0
-1.377 2.983 5.314
1.377 -2.983 5.314
1.377 2.983 -5.314
Ti Be Co
1 6 2
Direct
0.000 0.000 0.000
0.013 0.321 0.692
0.335 0.500 0.835
0.371 0.679 0.692
0.629 0.321 0.308
0.665 0.500 0.165
0.987 0.679 0.308
0.363 0.863 0.500
0.637 0.137 0.500
```

Calculated values
Space-group type: Immm
Raw total energy (eV/atom): -5.0357
Formation enthalpy at 0 K (meV/atom): -95



# 3
Compound: Ho4Mg5Hg2
Source: the Alexandria database
Functional: GGA-PBE
Structure: relaxed

Cell and atoms, written as POSCAR:
```
Ho4Mg5Hg2
1.0
7.946 0.000 0.000
0.000 3.485 0.000
-0.634 0.000 10.383
Ho Mg Hg
4 5 2
Direct
0.159 0.000 0.381
0.265 0.000 0.947
0.735 0.000 0.053
0.841 0.000 0.619
0.199 0.500 0.663
0.437 0.500 0.204
0.500 0.500 0.500
0.563 0.500 0.796
0.801 0.500 0.337
0.060 0.500 0.143
0.940 0.500 0.857
```

Calculated values
Space-group type: P2/m
Raw total energy (eV/atom): -2.6017
Formation enthalpy at 0 K (meV/atom): -157



# 4
Compound: ScTaIrRh
Source: the Alexandria database
Functional: GGA-PBE
Structure: relaxed

Cell and atoms, written as POSCAR:
```
ScTaIrRh
1.0
0.000 3.214 3.214
3.214 0.000 3.214
3.214 3.214 0.000
Sc Ta Ir Rh
1 1 1 1
Direct
0.000 0.000 0.000
0.500 0.500 0.500
0.250 0.250 0.250
0.750 0.750 0.750
```

Calculated values
Space-group type: F-43m
Raw total energy (eV/atom): -9.2786
Formation enthalpy at 0 K (meV/atom): -679



# 5
Compound: Pr2CuPdO6
Source: the Alexandria database
Functional: GGA-PBE
Structure: relaxed

Cell and atoms, written as POSCAR:
```
Pr2CuPdO6
1.0
5.534 0.000 0.000
0.000 5.856 0.000
-5.514 0.000 7.761
Pr Cu Pd O
4 2 2 12
Direct
0.233 0.068 0.250
0.233 0.432 0.750
0.767 0.568 0.250
0.767 0.932 0.750
0.500 0.000 0.000
0.500 0.500 0.500
0.000 0.000 0.500
0.000 0.500 0.000
0.148 0.203 0.951
0.148 0.297 0.451
0.252 0.700 0.951
0.252 0.800 0.451
0.352 0.029 0.754
0.352 0.471 0.254
0.648 0.529 0.746
0.648 0.971 0.246
0.748 0.200 0.549
0.748 0.300 0.049
0.852 0.703 0.549
0.852 0.797 0.049
```

Calculated values
Space-group type: P2_1/c
Raw total energy (eV/atom): -6.7857
Formation energy from raw total energies (eV/atom): -1.93



# 6
Compound: TbPrPd
Source: the Alexandria database
Functional: GGA-PBE
Structure: relaxed

Cell and atoms, written as POSCAR:
```
TbPrPd
1.0
7.213 0.000 0.000
0.000 6.078 0.000
-6.774 0.000 8.227
Tb Pr Pd
4 4 4
Direct
0.178 0.134 0.369
0.178 0.366 0.869
0.822 0.634 0.131
0.822 0.866 0.631
0.300 0.638 0.616
0.300 0.862 0.116
0.700 0.138 0.884
0.700 0.362 0.384
0.176 0.133 0.639
0.176 0.367 0.139
0.824 0.633 0.861
0.824 0.867 0.361
```

Calculated values
Space-group type: P2_1/c
Raw total energy (eV/atom): -5.3001
Formation enthalpy at 0 K (meV/atom): -433



# 7
Compound: YMgZr2
Source: the Alexandria database
Functional: GGA-PBE
Structure: relaxed

Cell and atoms, written as POSCAR:
```
YMgZr2
1.0
3.273 0.000 0.000
0.000 3.273 0.000
0.000 0.000 9.352
Y Mg Zr
1 1 2
Direct
0.000 0.000 0.000
0.500 0.500 0.732
0.000 0.000 0.490
0.500 0.500 0.260
```

Calculated values
Space-group type: P4mm
Raw total energy (eV/atom): -6.2654
Formation enthalpy at 0 K (meV/atom): 23



# 8
Compound: KTe2W
Source: the Alexandria database
Functional: GGA-PBE
Structure: relaxed

Cell and atoms, written as POSCAR:
```
KTe2W
1.0
3.747 -1.894 0.000
3.747 1.894 0.000
-0.059 0.000 8.219
K Te W
1 2 1
Direct
0.000 0.000 0.000
0.313 0.313 0.314
0.687 0.687 0.686
0.000 0.000 0.500
```

Calculated values
Space-group type: C2/m
Raw total energy (eV/atom): -5.1170
Formation energy from raw total energies (eV/atom): -0.03



Q: Among the records above, which one has the highest raw total energy?
A: Ho4Mg5Hg2



Q: raw total energy of number 3 (Ho4Mg5Hg2)?
A: -2.6017 eV/atom



Q: Which formula does entry 4 have?
A: ScTaIrRh